(1)
First-principles (PBE+U) data for SrSc4NiO8 after structural relaxation, as listed in the Alexandria database.

Cell lengths 6.3827, 6.3827, 6.3827 Å; angles 60.67, 60.67, 60.67 degrees
Last column: nearest neighbours and their distance in Å.
Positions (direct):
Sr  0.0000  0.0000  0.0000  4 O 2.28
Sc  0.1126  0.6254  0.6254  6 O 2.06-2.24
Sc  0.2460  0.2460  0.2460  4 O 2.05-2.07
Sc  0.6254  0.1126  0.6254  6 O 2.06-2.24
Sc  0.6254  0.6254  0.1126  6 O 2.06-2.24
Ni  0.6250  0.6250  0.6250  6 O 2.08-2.28
O  0.3741  0.3741  0.8558  3 Sc 2.05-2.23, 1 Ni 2.28
O  0.3741  0.8558  0.3741  3 Sc 2.05-2.23, 1 Ni 2.28
O  0.3788  0.3788  0.3788  4 Sc 2.07-2.24
O  0.4342  0.8534  0.8534  2 Sc 2.06, 1 Ni 2.08, 1 Sr 2.28
O  0.8534  0.4342  0.8534  2 Sc 2.06, 1 Ni 2.08, 1 Sr 2.28
O  0.8534  0.8534  0.4342  2 Sc 2.06, 1 Ni 2.08, 1 Sr 2.28
O  0.8535  0.8535  0.8535  3 Sc 2.08, 1 Sr 2.28
O  0.8558  0.3741  0.3741  3 Sc 2.05-2.23, 1 Ni 2.28

The value obtained for the density of states at the Fermi level is 0.000 states/eV per cell. Its total energy is -111.3 eV/cell. The value obtained for the density is 4.04 g/cm3.


(2)
First-principles (PBE+U) data for ScTaNiO2 after structural relaxation, as listed in the Alexandria database.

Cell lengths 3.8962, 3.8962, 4.6641 Å; angles 90.00, 90.00, 90.00 degrees
Last column: nearest neighbours and their distance in Å.
Positions (direct):
Sc  0.0000  0.0000  0.0000  4 O 1.95
Ta  0.5000  0.5000  0.5000  4 Ni 2.76, 8 O 3.04
Ni  0.0000  0.0000  0.5000  2 Sc 2.33
O  0.0000  0.5000  0.0000  2 Sc 1.95
O  0.5000  0.0000  0.0000  2 Sc 1.95

The value obtained for the density of states at the Fermi level is 3.021 states/eV per cell. Its total energy is -32.4 eV/cell. The value obtained for the density is 7.43 g/cm3.


(3)
First-principles (PBE+U) data for ScTcNi2O6 after structural relaxation, as listed in the Alexandria database.

Cell lengths 5.5314, 5.5314, 4.5928 Å; angles 90.00, 90.00, 90.00 degrees
Last column: nearest neighbours and their distance in Å.
Positions (direct):
Sc  0.0000  0.0000  0.0000  1 O 1.84
Tc  0.5000  0.5000  0.9766  1 O 1.68
Ni  0.0000  0.5000  0.2560  4 O 2.03
Ni  0.5000  0.0000  0.2560  4 O 2.03
O  0.0000  0.0000  0.5988  1 Sc 1.84
O  0.2652  0.2652  0.1403  1 Tc 1.98, 2 Ni 2.03, 1 Sc 2.17
O  0.2652  0.7348  0.1403  1 Tc 1.98, 2 Ni 2.03, 1 Sc 2.17
O  0.5000  0.5000  0.6116  1 Tc 1.68
O  0.7348  0.2652  0.1403  1 Tc 1.98, 2 Ni 2.03, 1 Sc 2.17
O  0.7348  0.7348  0.1403  1 Tc 1.98, 2 Ni 2.03, 1 Sc 2.17

The value obtained for the density of states at the Fermi level is 0.184 states/eV per cell. Its total energy is -65.8 eV/cell. The value obtained for the density is 4.21 g/cm3.


(4)
First-principles (PBE+U) data for ScNiTeO6 after structural relaxation, as listed in the Alexandria database.

Cell lengths 4.7532, 4.7532, 9.3511 Å; angles 90.00, 90.00, 90.00 degrees
Last column: nearest neighbours and their distance in Å.
Positions (direct):
Sc  0.0000  0.0000  0.0000  6 O 2.08-2.13
Sc  0.5000  0.5000  0.5000  6 O 2.08-2.13
Ni  0.0000  0.0000  0.6710  6 O 2.07-2.08
Ni  0.5000  0.5000  0.1710  6 O 2.07-2.08
Te  0.0000  0.0000  0.3364  6 O 1.94-1.96
Te  0.5000  0.5000  0.8364  6 O 1.94-1.96
O  0.1874  0.1874  0.4950  1 Te 1.95, 1 Ni 2.07, 1 Sc 2.10
O  0.1918  0.1918  0.1810  1 Te 1.94, 1 Ni 2.07, 1 Sc 2.13
O  0.2090  0.2090  0.8358  1 Te 1.96, 1 Sc 2.08, 1 Ni 2.08
O  0.2910  0.7090  0.3358  1 Te 1.96, 1 Sc 2.08, 1 Ni 2.08
O  0.3083  0.6918  0.6810  1 Te 1.94, 1 Ni 2.07, 1 Sc 2.13
O  0.3126  0.6874  0.9950  1 Te 1.95, 1 Ni 2.07, 1 Sc 2.10
O  0.6874  0.3126  0.9950  1 Te 1.95, 1 Ni 2.07, 1 Sc 2.10
O  0.6918  0.3083  0.6810  1 Te 1.94, 1 Ni 2.07, 1 Sc 2.13
O  0.7090  0.2910  0.3358  1 Te 1.96, 1 Sc 2.08, 1 Ni 2.08
O  0.7910  0.7910  0.8358  1 Te 1.96, 1 Sc 2.08, 1 Ni 2.08
O  0.8082  0.8082  0.1810  1 Te 1.94, 1 Ni 2.07, 1 Sc 2.13
O  0.8126  0.8126  0.4950  1 Te 1.95, 1 Ni 2.07, 1 Sc 2.10

The value obtained for the density of states at the Fermi level is 10.273 states/eV per cell. Its total energy is -112.3 eV/cell. The value obtained for the density is 5.14 g/cm3.


(5)
First-principles (PBE+U) data for ScNiTe2O8 after structural relaxation, as listed in the Alexandria database.

Cell lengths 5.9302, 5.9302, 5.9302 Å; angles 108.68, 108.68, 111.06 degrees
Last column: nearest neighbours and their distance in Å.
Positions (direct):
Sc  0.0000  0.0000  0.0000  4 O 2.13
Ni  0.7500  0.2500  0.5000  4 O 2.14
Te  0.2500  0.7500  0.5000  4 O 1.87
Te  0.5000  0.5000  0.0000  4 O 1.92
O  0.0590  0.3623  0.3033  1 Te 1.87
O  0.0590  0.7557  0.6967  1 Te 1.87
O  0.1023  0.2968  0.8055  1 Te 1.92, 1 Ni 2.14
O  0.2443  0.9410  0.3033  1 Te 1.87
O  0.4914  0.2968  0.1945  1 Te 1.92, 1 Ni 2.14
O  0.6377  0.9410  0.6967  1 Te 1.87
O  0.7032  0.5086  0.8055  1 Te 1.92, 1 Ni 2.14
O  0.7032  0.8977  0.1945  1 Te 1.92, 1 Ni 2.14

The value obtained for the density of states at the Fermi level is 2.762 states/eV per cell. Its total energy is -69.6 eV/cell. The value obtained for the density is 5.04 g/cm3.


(6)
First-principles (PBE+U) data for Sc2TiNiO6 after structural relaxation, as listed in the Alexandria database.

Cell lengths 5.5802, 5.5802, 5.5802 Å; angles 55.94, 55.94, 55.94 degrees
Last column: nearest neighbours and their distance in Å.
Positions (direct):
Sc  0.0000  0.0000  0.0000  6 O 2.05-2.23
Sc  0.4952  0.4952  0.4952  6 O 2.12-2.15
Ti  0.2877  0.2877  0.2877  6 O 1.91-2.09
Ni  0.7888  0.7888  0.7888  6 O 2.06-2.19
O  0.0913  0.6773  0.3974  2 Sc 2.05-2.15, 1 Ni 2.06, 1 Ti 2.09
O  0.1890  0.5667  0.9219  1 Ti 1.91, 1 Sc 2.12
O  0.3974  0.0913  0.6773  2 Sc 2.05-2.15, 1 Ni 2.06, 1 Ti 2.09
O  0.5667  0.9219  0.1890  1 Ti 1.91, 1 Sc 2.12
O  0.6773  0.3974  0.0913  2 Sc 2.05-2.15, 1 Ni 2.06, 1 Ti 2.09
O  0.9219  0.1890  0.5667  1 Ti 1.91, 1 Sc 2.12

The value obtained for the density of states at the Fermi level is 0.000 states/eV per cell. Its total energy is -81.7 eV/cell. The value obtained for the density is 4.36 g/cm3.


(7)
First-principles (PBE+U) data for ScNi2WO6 after structural relaxation, as listed in the Alexandria database.

Cell lengths 5.3003, 5.4077, 9.3537 Å; angles 90.00, 124.11, 90.00 degrees
Last column: nearest neighbours and their distance in Å.
Positions (direct):
Sc  0.0000  0.0000  0.0000  6 O 2.02-2.19
Sc  0.0000  0.5000  0.5000  6 O 2.02-2.19
Ni  0.2252  0.0428  0.7149  4 O 1.99-2.19
Ni  0.2252  0.4572  0.2149  4 O 1.99-2.19
Ni  0.7748  0.5428  0.7851  4 O 1.99-2.19
Ni  0.7748  0.9572  0.2851  4 O 1.99-2.19
W  0.5000  0.0000  0.5000  6 O 1.98-2.04
W  0.5000  0.5000  0.0000  6 O 1.98-2.04
O  0.1216  0.1712  0.4531  1 Ni 1.99, 1 W 2.02, 1 Sc 2.02
O  0.1216  0.3288  0.9531  1 Ni 1.99, 1 W 2.02, 1 Sc 2.02
O  0.2512  0.6954  0.4124  1 W 1.98, 1 Sc 2.19, 1 Ni 2.19
O  0.2512  0.8046  0.9124  1 W 1.98, 1 Sc 2.19, 1 Ni 2.19
O  0.3899  0.0896  0.2592  1 W 2.04, 2 Ni 2.04-2.12, 1 Sc 2.18
O  0.3899  0.4104  0.7592  1 W 2.04, 2 Ni 2.04-2.12, 1 Sc 2.18
O  0.6101  0.5896  0.2408  1 W 2.04, 2 Ni 2.04-2.12, 1 Sc 2.18
O  0.6101  0.9104  0.7408  1 W 2.04, 2 Ni 2.04-2.12, 1 Sc 2.18
O  0.7488  0.1954  0.0876  1 W 1.98, 1 Sc 2.19, 1 Ni 2.19
O  0.7488  0.3046  0.5876  1 W 1.98, 1 Sc 2.19, 1 Ni 2.19
O  0.8784  0.6712  0.0469  1 Ni 1.99, 1 W 2.02, 1 Sc 2.02
O  0.8784  0.8288  0.5469  1 Ni 1.99, 1 W 2.02, 1 Sc 2.02

The value obtained for the density of states at the Fermi level is 0.000 states/eV per cell. Its total energy is -135.5 eV/cell. The value obtained for the density is 6.62 g/cm3.


(8)
First-principles (PBE+U) data for Ni2SeO after structural relaxation, as listed in the Alexandria database.

Cell lengths 5.0072, 5.0072, 10.4573 Å; angles 90.00, 90.00, 90.00 degrees
Last column: nearest neighbours and their distance in Å.
Positions (direct):
Ni  0.1667  0.2500  0.1250  2 O 1.99
Ni  0.2500  0.6667  0.3750  2 O 1.99
Ni  0.2500  0.8333  0.8750  2 O 1.99
Ni  0.3333  0.2500  0.6250  2 O 1.99
Ni  0.6667  0.7500  0.6250  2 O 1.99
Ni  0.7500  0.1667  0.8750  2 O 1.99
Ni  0.7500  0.3333  0.3750  2 O 1.99
Ni  0.8333  0.7500  0.1250  2 O 1.99
Se  0.0000  0.0000  0.5000  4 Ni 2.46
Se  0.0000  0.5000  0.7500  4 Ni 2.46
Se  0.5000  0.0000  0.2500  4 Ni 2.46
Se  0.5000  0.5000  0.0000  4 Ni 2.46
O  0.0000  0.0000  0.0000  4 Ni 1.99
O  0.0000  0.5000  0.2500  4 Ni 1.99
O  0.5000  0.0000  0.7500  4 Ni 1.99
O  0.5000  0.5000  0.5000  4 Ni 1.99

The value obtained for the density of states at the Fermi level is 0.000 states/eV per cell. Its total energy is -60.6 eV/cell. The value obtained for the density is 5.38 g/cm3. As for the distance to the lowest polymorph of the same formula: 0.0000 eV/atom.


(9)
First-principles (PBE+U) data for NiSeO3 after structural relaxation, as listed in the Alexandria database.

Cell lengths 5.8562, 5.6258, 8.5532 Å; angles 90.00, 90.00, 90.00 degrees
Last column: nearest neighbours and their distance in Å.
Positions (direct):
Ni  0.0153  0.1132  0.0000  5 O 1.98-2.16
Ni  0.4847  0.6132  0.5000  5 O 1.98-2.16
Ni  0.5153  0.3868  0.0000  5 O 1.98-2.16
Ni  0.9847  0.8868  0.5000  5 O 1.98-2.16
Se  0.0384  0.5775  0.1907  3 O 1.71-1.77
Se  0.4616  0.0775  0.6907  3 O 1.71-1.77
Se  0.5384  0.9225  0.1907  3 O 1.71-1.77
Se  0.9616  0.4225  0.6907  3 O 1.71-1.77
O  0.1183  0.7899  0.0579  1 Se 1.71
O  0.1827  0.6729  0.3612  1 Se 1.77
O  0.2169  0.3449  0.1291  1 Se 1.76
O  0.2831  0.8449  0.6291  1 Se 1.76
O  0.3173  0.1729  0.8612  1 Se 1.77
O  0.3817  0.2899  0.5579  1 Se 1.71
O  0.6183  0.7101  0.0579  1 Se 1.71
O  0.6827  0.8271  0.3612  1 Se 1.77
O  0.7169  0.1551  0.1291  1 Se 1.76
O  0.7831  0.6551  0.6291  1 Se 1.76
O  0.8173  0.3271  0.8612  1 Se 1.77
O  0.8817  0.2101  0.5579  1 Se 1.71

The value obtained for the density of states at the Fermi level is 0.000 states/eV per cell. Its total energy is -101.2 eV/cell. The value obtained for the density is 4.38 g/cm3.


Which formula does entry 7 have? ScNi2WO6